# 1
Below is a relaxed structure of Ba2PaBr3O3, with properties calculated at the GGA-PBE level.

Geometry as POSCAR:
```
Ba2PaBr3O3
1.0
8.4296 0.0000 0.0000
-4.2148 7.3002 0.0000
0.0000 0.0000 3.5461
Ba Pa Br O
2 1 3 3
direct
0.3333 0.6667 0.0000 Ba
0.6667 0.3333 0.0000 Ba
0.0000 0.0000 0.5000 Pa
0.0000 0.5975 0.5000 Br
0.4025 0.4025 0.5000 Br
0.5975 0.0000 0.5000 Br
0.0000 0.1779 0.0000 O
0.1779 0.0000 0.0000 O
0.8221 0.8221 0.0000 O
```

**Total magnetic moment**: 0.00 μB/atom
**Raw formation energy**: -2.267 eV/atom
**Fermi-level density of states**: 0.1 states/eV/cell
**Space-group type**: P-62m, No. 189
**DFT total energy**: -5.9594 eV/atom

# 2
Below is a relaxed structure of BaPb2Br2O2, with properties calculated at the GGA-PBE level.

Geometry as POSCAR:
```
BaPb2Br2O2
1.0
7.2228 -2.0478 0.0000
7.2228 2.0478 0.0000
-5.5109 0.0000 7.0466
Ba Pb Br O
1 2 2 2
direct
0.0000 0.0000 0.0000 Ba
0.1774 0.1774 0.5648 Pb
0.8226 0.8226 0.4352 Pb
0.4416 0.4416 0.2107 Br
0.5584 0.5584 0.7893 Br
0.2073 0.2073 0.3436 O
0.7927 0.7927 0.6564 O
```

**Total magnetic moment**: 0.00 μB/atom
**Raw formation energy**: -1.530 eV/atom
**Fermi-level density of states**: 0.0 states/eV/cell
**Space-group type**: C2/m, No. 12
**DFT total energy**: -4.7586 eV/atom

# 3
Below is a relaxed structure of BaPbBrO2, with properties calculated at the GGA-PBE level.

Geometry as POSCAR:
```
BaPbBrO2
1.0
7.4588 0.0000 0.0000
0.0000 4.4904 0.0000
-0.6955 0.0000 8.3881
Ba Pb Br O
2 2 2 4
direct
0.1911 0.2500 0.3950 Ba
0.8089 0.7500 0.6050 Ba
0.1249 0.2500 0.8780 Pb
0.8751 0.7500 0.1220 Pb
0.4979 0.2500 0.7269 Br
0.5021 0.7500 0.2731 Br
0.0082 0.7500 0.3582 O
0.0297 0.7500 0.9032 O
0.9703 0.2500 0.0968 O
0.9918 0.2500 0.6418 O
```

**Total magnetic moment**: 0.00 μB/atom
**Raw formation energy**: -1.639 eV/atom
**Fermi-level density of states**: 3.8 states/eV/cell
**Space-group type**: P2_1/m, No. 11
**DFT total energy**: -5.0830 eV/atom

# 4
Below is a relaxed structure of Ba2PbBr2O2, with properties calculated at the GGA-PBE level.

Geometry as POSCAR:
```
Ba2PbBr2O2
1.0
-2.3940 2.3940 8.3779
2.3940 -2.3940 8.3779
2.3940 2.3940 -8.3779
Ba Pb Br O
2 1 2 2
direct
0.1059 0.1059 0.0000 Ba
0.8941 0.8941 0.0000 Ba
0.5000 0.5000 0.0000 Pb
0.3109 0.3109 0.0000 Br
0.6891 0.6891 0.0000 Br
0.0000 0.5000 0.5000 O
0.5000 0.0000 0.5000 O
```

**Total magnetic moment**: 0.00 μB/atom
**Raw formation energy**: -1.875 eV/atom
**Fermi-level density of states**: 0.3 states/eV/cell
**Space-group type**: I4/mmm, No. 139
**DFT total energy**: -4.8484 eV/atom

# 5
Below is a relaxed structure of Ba2PbBrO3, with properties calculated at the GGA-PBE level.

Geometry as POSCAR:
```
Ba2PbBrO3
1.0
3.8205 2.2058 6.9707
-3.8205 2.2058 6.9707
0.0000 -4.4116 6.9707
Ba Pb Br O
4 2 2 6
direct
0.0000 0.0000 0.0000 Ba
0.0000 0.0000 0.5000 Ba
0.0000 0.5000 0.0000 Ba
0.5000 0.0000 0.0000 Ba
0.4228 0.4228 0.4228 Pb
0.5772 0.5772 0.5772 Pb
0.2816 0.2816 0.2816 Br
0.7184 0.7184 0.7184 Br
0.2313 0.7425 0.7425 O
0.2575 0.2575 0.7687 O
0.2575 0.7687 0.2575 O
0.7425 0.2313 0.7425 O
0.7425 0.7425 0.2313 O
0.7687 0.2575 0.2575 O
```

**Total magnetic moment**: 0.00 μB/atom
**Raw formation energy**: -1.723 eV/atom
**Fermi-level density of states**: 1.7 states/eV/cell
**Space-group type**: R-3m, No. 166
**DFT total energy**: -5.1663 eV/atom

# 6
Below is a relaxed structure of Ba4Pd3BrO6, with properties calculated at the GGA-PBE level.

Geometry as POSCAR:
```
Ba4Pd3BrO6
1.0
-4.1046 4.1046 4.1046
4.1046 -4.1046 4.1046
4.1046 4.1046 -4.1046
Ba Pd Br O
4 3 1 6
direct
0.0000 0.0000 0.5000 Ba
0.0000 0.5000 0.0000 Ba
0.5000 0.0000 0.0000 Ba
0.5000 0.5000 0.5000 Ba
0.0000 0.5000 0.5000 Pd
0.5000 0.0000 0.5000 Pd
0.5000 0.5000 0.0000 Pd
0.0000 0.0000 0.0000 Br
0.2500 0.5000 0.7500 O
0.2500 0.7500 0.5000 O
0.5000 0.2500 0.7500 O
0.5000 0.7500 0.2500 O
0.7500 0.2500 0.5000 O
0.7500 0.5000 0.2500 O
```

**Total magnetic moment**: 0.00 μB/atom
**Raw formation energy**: -1.598 eV/atom
**Fermi-level density of states**: 4.7 states/eV/cell
**Space-group type**: Im-3m, No. 229
**DFT total energy**: -5.5050 eV/atom